# Pr7Co2Hg2

A relaxed structure of Pr7Co2Hg2 (PBE, the Alexandria database).

ΔE to the lowest computed polymorph (eV/atom): 0.052
Calculated density (g/cm³): 7.5
Total magnetic moment (Bohr magnetons per cell): 0.000
Uncorrected energy (eV/atom): -4.509
Volume (A^3/atom): 30.2

a b c (Å): 6.978 6.978 7.262
angles (deg): 90.00 90.00 109.83
Sites, in units of the cell vectors:
1 Pr 0.000 0.000 0.000
2 Pr 0.000 0.500 0.247
3 Pr 0.000 0.500 0.753
4 Pr 0.500 0.000 0.247
5 Pr 0.500 0.000 0.753
6 Pr 0.500 0.500 0.236
7 Pr 0.500 0.500 0.764
8 Co 0.295 0.705 0.000
9 Co 0.705 0.295 0.000
10 Hg 0.178 0.178 0.500
11 Hg 0.822 0.822 0.500